GeSbPt6: optimized geometry, PBE.

Structure (POSCAR):
```
GeSbPt6
1.0
4.0647 0.0000 0.0000
0.0000 4.0647 0.0000
0.0000 0.0000 7.9320
Ge Sb Pt
1 1 6
Direct
0.0000 0.0000 0.5000
0.0000 0.0000 0.0000
0.5000 0.5000 0.0000
0.5000 0.5000 0.5000
0.5000 0.0000 0.2596
0.5000 0.0000 0.7404
0.0000 0.5000 0.2596
0.0000 0.5000 0.7404
```

Raw formation energy (eV/atom): -0.18
Magnetization (μB per cell): 0.0
Raw total energy (Ha/atom): -0.2133


Sm2Ge3SbPt4: optimized geometry, PBE.

Structure (POSCAR):
```
Sm2Ge3SbPt4
1.0
4.2996 0.0000 0.0000
0.0000 4.2996 0.0000
0.0000 0.0000 10.8554
Sm Ge Sb Pt
2 3 1 4
Direct
0.5000 0.0000 0.2313
0.0000 0.5000 0.7687
0.0000 0.0000 0.5000
0.5000 0.0000 0.8720
0.0000 0.5000 0.1280
0.5000 0.5000 0.5000
0.5000 0.5000 0.0000
0.0000 0.0000 0.0000
0.5000 0.0000 0.6473
0.0000 0.5000 0.3527
```

Raw formation energy (eV/atom): -0.86
Magnetization (μB per cell): 0.0
Raw total energy (Ha/atom): -0.2212


SmGe2Sb2Pt7: optimized geometry, PBE.

Structure (POSCAR):
```
SmGe2Sb2Pt7
1.0
-3.8854 0.8521 -0.1293
-0.1394 -0.0258 3.9773
1.3200 15.6186 2.1347
Sm Ge Sb Pt
1 2 2 7
Direct
0.0000 0.0000 0.0000
0.6203 0.6203 0.7574
0.3797 0.3797 0.2426
0.7879 0.7879 0.4251
0.2121 0.2121 0.5749
0.5000 0.5000 0.0000
0.2992 0.2992 0.4012
0.7008 0.7008 0.5988
0.9278 0.4275 0.1453
0.4275 0.9278 0.1453
0.5725 0.0722 0.8547
0.0722 0.5725 0.8547
```

Raw formation energy (eV/atom): -0.58
Magnetization (μB per cell): 0.0
Raw total energy (Ha/atom): -0.2186


Sr2GeSb3Pt4: optimized geometry, PBE.

Structure (POSCAR):
```
Sr2GeSb3Pt4
1.0
-0.1129 -0.8876 -4.5776
4.3135 -1.7588 0.2346
-4.0098 -9.5734 1.9552
Sr Ge Sb Pt
2 1 3 4
Direct
0.5000 0.0000 0.2487
0.0000 0.5000 0.7513
0.5000 0.5000 0.5000
0.0000 0.0000 0.5000
0.5000 0.0000 0.8699
0.0000 0.5000 0.1301
0.5000 0.5000 0.0000
0.0000 0.0000 0.0000
0.5000 0.0000 0.6189
0.0000 0.5000 0.3811
```

Raw formation energy (eV/atom): -0.78
Magnetization (μB per cell): 0.0
Raw total energy (Ha/atom): -0.1923


TbGe2Sb2Pt7: optimized geometry, PBE.

Structure (POSCAR):
```
TbGe2Sb2Pt7
1.0
-1.3343 -3.3415 1.6707
1.6904 -2.1233 -2.8933
13.2097 -3.7507 7.7534
Tb Ge Sb Pt
1 2 2 7
Direct
0.0000 0.0000 0.0000
0.6199 0.6199 0.7587
0.3801 0.3801 0.2413
0.7879 0.7879 0.4248
0.2121 0.2121 0.5752
0.5000 0.5000 0.0000
0.2994 0.2994 0.4005
0.7006 0.7006 0.5995
0.9288 0.4286 0.1430
0.4286 0.9288 0.1430
0.5714 0.0712 0.8570
0.0712 0.5714 0.8570
```

Raw formation energy (eV/atom): -0.61
Magnetization (μB per cell): 0.0
Raw total energy (Ha/atom): -0.2195


Tb2Ge3SbPt4: optimized geometry, PBE.

Structure (POSCAR):
```
Tb2Ge3SbPt4
1.0
-3.9384 0.3497 1.6064
1.5826 -0.3226 3.9503
1.1342 10.8078 0.4283
Tb Ge Sb Pt
2 3 1 4
Direct
0.5000 0.0000 0.2273
0.0000 0.5000 0.7727
0.0000 0.0000 0.5000
0.5000 0.0000 0.8709
0.0000 0.5000 0.1291
0.5000 0.5000 0.5000
0.5000 0.5000 0.0000
0.0000 0.0000 0.0000
0.5000 0.0000 0.6485
0.0000 0.5000 0.3515
```

Raw formation energy (eV/atom): -0.83
Magnetization (μB per cell): 0.0
Raw total energy (Ha/atom): -0.2195


GeSb2TePt: optimized geometry, PBE.

Structure (POSCAR):
```
GeSb2TePt
1.0
5.1922 0.0000 0.0000
0.0000 5.1922 0.0000
0.0000 0.0000 5.5067
Sb Ge Te Pt
2 1 1 1
Direct
0.0000 0.5000 0.0000
0.5000 0.0000 0.0000
0.5000 0.5000 0.5000
0.0000 0.0000 0.5000
0.0000 0.0000 0.0000
```

Raw formation energy (eV/atom): 0.48
Energy above the most stable polymorph in this dataset (meV/atom): 0
Magnetization (μB per cell): 0.0
Raw total energy (Ha/atom): -0.1444


GeSb2TePt: optimized geometry, PBE.

Structure (POSCAR):
```
GeSb2TePt
1.0
-5.3114 2.2378 -0.0057
-1.8965 -4.5009 0.1637
0.0697 0.1801 5.7604
Sb Ge Te Pt
2 1 1 1
Direct
0.0000 0.0000 0.5000
0.5000 0.0000 0.0000
0.5000 0.5000 0.5000
0.0000 0.0000 0.0000
0.0000 0.5000 0.0000
```

Raw formation energy (eV/atom): 0.93
Energy above the most stable polymorph in this dataset (meV/atom): 449
Magnetization (μB per cell): 0.0
Raw total energy (Ha/atom): -0.1279